Entry 1:
Compound: CsBe
Source: the Alexandria database
Functional: PBE
Structure: optimized geometry

CIF file:
```
data_CsBe
_chemical_formula_sum 'Cs6 Be6'
_cell_length_a 13.2254
_cell_length_b 13.2254
_cell_length_c 4.2928
_cell_angle_alpha 90.00
_cell_angle_beta 90.00
_cell_angle_gamma 120.00
_space_group_name_H-M_alt 'P 63/m m c'
_space_group_IT_number 194
_space_group_name_Hall '-P 6c 2c'
loop_
_atom_site_label
_atom_site_fract_x
_atom_site_fract_y
_atom_site_fract_z
Cs1 0.2102 0.4204 0.2500
Be1 0.0080 0.5040 0.7500
```

Results
* spin magnetization: 0.011 μB/atom
* E: -1.53 eV/atom
* energy of formation: 1.51 eV per formula unit

---

Entry 2:
Compound: Al2AgSn
Source: the Alexandria database
Functional: PBE
Structure: optimized geometry

CIF file:
```
data_Al2AgSn
_chemical_formula_sum 'Al2 Ag1 Sn1'
_cell_length_a 3.185
_cell_length_b 3.185
_cell_length_c 7.753
_cell_angle_alpha 90.00
_cell_angle_beta 90.00
_cell_angle_gamma 90.00
_space_group_name_H-M_alt 'P 4/m m m'
_space_group_IT_number 123
_space_group_name_Hall '-P 4 2'
loop_
_atom_site_label
_atom_site_fract_x
_atom_site_fract_y
_atom_site_fract_z
Al1 0.000 0.000 0.218
Ag1 0.500 0.500 0.000
Sn1 0.500 0.500 0.500
```

Results
* spin magnetization: 0.000 μB/atom
* E: -3.49 eV/atom
* energy of formation: 0.38 eV per formula unit

---

Entry 3:
Compound: PaTcPN
Source: the Alexandria database
Functional: PBE
Structure: optimized geometry

CIF file:
```
data_PaTcPN
_chemical_formula_sum 'Pa2 Tc2 P2 N2'
_cell_length_a 4.002
_cell_length_b 4.002
_cell_length_c 7.847
_cell_angle_alpha 90.00
_cell_angle_beta 90.00
_cell_angle_gamma 90.00
_space_group_name_H-M_alt 'P 4/n m m'
_space_group_IT_number 129
loop_
_space_group_symop_operation_xyz
'x,y,z'
'-x,-y,-z'
'-y+1/2,x,z'
'y+1/2,-x,-z'
'-x+1/2,-y+1/2,z'
'x+1/2,y+1/2,-z'
'y,-x+1/2,z'
'-y,x+1/2,-z'
'x+1/2,-y,-z'
'-x+1/2,y,z'
'-y,-x,-z'
'y,x,z'
'-x,y+1/2,-z'
'x,-y+1/2,z'
'y+1/2,x+1/2,-z'
'-y+1/2,-x+1/2,z'
loop_
_atom_site_label
_atom_site_fract_x
_atom_site_fract_y
_atom_site_fract_z
Pa1 0.250 0.250 0.147
Tc1 0.250 0.750 0.500
P1 0.250 0.250 0.660
N1 0.250 0.750 0.000
```

Results
* spin magnetization: 0.000 μB/atom
* E: -9.64 eV/atom
* uncorrected formation energy: -1.24 eV per atom

---

Entry 4:
Compound: HfAg2S2
Source: the Alexandria database
Functional: PBE
Structure: optimized geometry

CIF file:
```
data_HfAg2S2
_chemical_formula_sum 'Hf2 Ag4 S4'
_cell_length_a 6.852
_cell_length_b 6.852
_cell_length_c 4.039
_cell_angle_alpha 90.00
_cell_angle_beta 90.00
_cell_angle_gamma 90.00
_space_group_name_H-M_alt 'P 4/m b m'
_space_group_IT_number 127
_space_group_name_Hall '-P 4 2ab'
loop_
_atom_site_label
_atom_site_fract_x
_atom_site_fract_y
_atom_site_fract_z
Hf1 0.000 0.000 0.000
Ag1 0.155 0.345 0.500
S1 0.174 0.674 0.000
```

Results
* spin magnetization: 0.000 μB/atom
* E: -5.15 eV/atom
* uncorrected formation energy: -0.37 eV per atom

---

Entry 5:
Compound: InHgN2
Source: the Alexandria database
Functional: PBE
Structure: optimized geometry

CIF file:
```
data_InHgN2
_chemical_formula_sum 'In4 Hg4 N8'
_cell_length_a 5.174
_cell_length_b 5.174
_cell_length_c 10.146
_cell_angle_alpha 90.00
_cell_angle_beta 90.00
_cell_angle_gamma 90.00
_space_group_name_H-M_alt 'I -4 2 d'
_space_group_IT_number 122
_space_group_name_Hall 'I -4 2bw'
loop_
_atom_site_label
_atom_site_fract_x
_atom_site_fract_y
_atom_site_fract_z
In1 0.000 0.000 0.000
Hg1 0.000 0.000 0.500
N1 0.231 0.250 0.125
```

Results
* spin magnetization: 0.000 μB/atom
* E: -4.05 eV/atom
* uncorrected formation energy: 0.87 eV per atom

---

Entry 6:
Compound: MnTcRh2
Source: the Alexandria database
Functional: PBE
Structure: optimized geometry

CIF file:
```
data_MnTcRh2
_chemical_formula_sum 'Mn1 Tc1 Rh2'
_cell_length_a 2.740
_cell_length_b 2.740
_cell_length_c 7.524
_cell_angle_alpha 90.00
_cell_angle_beta 90.00
_cell_angle_gamma 90.00
_space_group_name_H-M_alt 'P 4/m m m'
_space_group_IT_number 123
_space_group_name_Hall '-P 4 2'
loop_
_atom_site_label
_atom_site_fract_x
_atom_site_fract_y
_atom_site_fract_z
Mn1 0.000 0.000 0.000
Tc1 0.000 0.000 0.500
Rh1 0.500 0.500 0.250
```

Results
* spin magnetization: 0.907 μB/atom
* E: -8.66 eV/atom
* energy of formation: -0.40 eV per formula unit

---

Entry 7:
Compound: CaSi2Pt
Source: the Alexandria database
Functional: PBE
Structure: optimized geometry

CIF file:
```
data_CaSi2Pt
_chemical_formula_sum 'Ca4 Si8 Pt4'
_cell_length_a 6.517
_cell_length_b 6.517
_cell_length_c 6.517
_cell_angle_alpha 90.00
_cell_angle_beta 90.00
_cell_angle_gamma 90.00
_space_group_name_H-M_alt 'F m -3 m'
_space_group_IT_number 225
_space_group_name_Hall '-F 4 2 3'
loop_
_atom_site_label
_atom_site_fract_x
_atom_site_fract_y
_atom_site_fract_z
Ca1 0.000 0.000 0.000
Si1 0.250 0.250 0.250
Pt1 0.000 0.000 0.500
```

Results
* spin magnetization: 0.000 μB/atom
* E: -4.94 eV/atom
* uncorrected formation energy: -0.22 eV per atom

---

Entry 8:
Compound: ZnH2Ru
Source: the Alexandria database
Functional: PBE
Structure: optimized geometry

CIF file:
```
data_ZnH2Ru
_chemical_formula_sum 'Zn4 H8 Ru4'
_cell_length_a 5.140
_cell_length_b 5.140
_cell_length_c 5.140
_cell_angle_alpha 90.00
_cell_angle_beta 90.00
_cell_angle_gamma 90.00
_space_group_name_H-M_alt 'F m -3 m'
_space_group_IT_number 225
_space_group_name_Hall '-F 4 2 3'
loop_
_atom_site_label
_atom_site_fract_x
_atom_site_fract_y
_atom_site_fract_z
Zn1 0.000 0.000 0.000
H1 0.250 0.250 0.250
Ru1 0.000 0.000 0.500
```

Results
* spin magnetization: 0.000 μB/atom
* E: -3.81 eV/atom